CsTlSbPb | PBE | relaxed

As for the energy relative to the elements, uncorrected: -0.100 eV per atom. Its calculated total energy is -34.348 eV for the cell shown.

The space group is R3m (No. 160, hexagonal axes) and the conventional cell measures 5.4030, 5.4030 and 21.0589 Å, with angles of 90.00, 90.00 and 120.00 degrees. The inequivalent atoms are Cs at (0.0000, 0.0000, 0.0000), Tl at (0.0000, 0.0000, 0.4645), Sb at (0.0000, 0.0000, 0.2028) and Pb at (0.0000, 0.0000, 0.8116).